Record 1
The following is a GGA-PBE calculation of crystalline Ag2TePb at its relaxed geometry, from the Alexandria database.

The structure in POSCAR format:
```
Ag2TePb
1.0
5.9445 0.0337 -0.0179
5.1186 3.0229 -0.0179
1.5416 0.4259 5.4729
Pb Te Ag
1 1 2
Cartesian
6.1034 1.6863 3.1240
3.3688 0.9308 0.9776
0.4186 0.1157 0.2489
9.0163 2.4911 3.8050
```

## Properties
* E_form (uncorrected): 0.0964 eV/atom
* space group: No. 8
* energy relative to the lowest polymorph listed for this composition: 54 meV/atom
* final energy: -12.2 eV/cell

Record 2
The following is a GGA-PBE calculation of crystalline Ac7PrNd12 at its relaxed geometry, from the Alexandria database.

The structure in POSCAR format:
```
Ac7PrNd12
1.0
-9.0258 5.4363 0.6694
1.1186 -3.7709 -9.7977
-0.2084 -8.0251 6.8572
Ac Pr Nd
7 1 12
Cartesian
-3.9536 0.8327 -4.5641
0.4551 -5.8980 -1.4703
-4.6171 -1.2944 3.7633
-4.0578 -3.1799 -1.1356
-0.1042 -4.0125 3.4286
-4.5129 2.7182 0.3347
0.5593 -1.8855 -4.8989
0.0000 0.0000 0.0000
-3.2847 -6.2729 -1.1242
-7.5749 0.4911 -4.3147
-4.8309 -0.0869 -1.1469
-0.5407 -6.8508 2.0436
-6.8026 1.1794 1.9329
-6.4867 -2.9141 0.9124
-1.3130 -7.5391 -4.2040
-1.6289 -3.4456 -3.1835
-5.3224 -2.6412 -4.0122
-2.7931 -3.7185 1.7411
-5.9976 -4.6169 4.3530
-2.1179 -1.7428 -6.6241
```

## Properties
* formation energy from the elements: 0.769 eV/atom
* space group: No. 204
* final energy: -75.4 eV/cell

Record 3
The following is a GGA-PBE calculation of crystalline AlCuHg2 at its relaxed geometry, from the Alexandria database.

The structure in POSCAR format:
```
AlCuHg2
1.0
4.7930 0.0000 0.0000
2.3965 4.1508 0.0000
2.3965 1.3836 3.9134
Hg Cu Al
2 1 1
Cartesian
0.0000 0.0000 0.0000
2.3965 1.3836 0.9784
7.1894 4.1508 2.9351
4.7930 2.7672 1.9567
```

## Properties
* formation energy from the elements: 0.321 eV/atom
* space group: No. 216
* final energy: -7.2 eV/cell